Entry 1:
! BaLu3Pt, optimized geometry, DFT PBE; values from VASP
&SYSTEM
  ibrav = 0, nat = 5, ntyp = 3
/
ATOMIC_SPECIES
Ba 137.33 Ba.upf
Lu 174.97 Lu.upf
Pt 195.08 Pt.upf
ATOMIC_POSITIONS angstrom
Ba 0.000 0.000 0.000
Lu 0.000 2.748 2.748
Lu 2.748 0.000 2.748
Lu 2.748 2.748 0.000
Pt 2.748 2.748 2.748
CELL_PARAMETERS angstrom
5.496 0.000 0.000
0.000 5.496 0.000
0.000 0.000 5.496
! * density: 8.6 g cm⁻³
! * N(E_F): 0.90 states/eV/atom
! * M_tot: 0.0 μB/f.u.
! * symmetry: Pm-3m, No. 221
! * calculated formation energy: -448 meV/atom

=====

Entry 2:
! BaLuPt4, optimized geometry, DFT PBE; values from VASP
&SYSTEM
  ibrav = 0, nat = 6, ntyp = 3
/
ATOMIC_SPECIES
Ba 137.33 Ba.upf
Lu 174.97 Lu.upf
Pt 195.08 Pt.upf
ATOMIC_POSITIONS angstrom
Ba 0.000 0.000 0.000
Lu 5.887 5.887 5.887
Pt 2.949 2.949 2.949
Pt 4.900 4.900 2.949
Pt 4.900 2.949 4.900
Pt 2.949 4.900 4.900
CELL_PARAMETERS angstrom
0.000 3.924 3.924
3.924 0.000 3.924
3.924 3.924 0.000
! * density: 15.0 g cm⁻³
! * N(E_F): 1.02 states/eV/atom
! * M_tot: 0.0 μB/f.u.
! * symmetry: F-43m, No. 216
! * calculated formation energy: -810 meV/atom

=====

Entry 3:
! BaLu2Pu, optimized geometry, DFT PBE; values from VASP
&SYSTEM
  ibrav = 0, nat = 4, ntyp = 3
/
ATOMIC_SPECIES
Ba 137.33 Ba.upf
Lu 174.97 Lu.upf
Pu 244.00 Pu.upf
ATOMIC_POSITIONS angstrom
Ba 0.000 0.000 0.000
Lu 2.051 2.051 2.051
Lu 6.152 6.152 6.152
Pu 4.102 4.102 4.102
CELL_PARAMETERS angstrom
0.000 4.102 4.102
4.102 0.000 4.102
4.102 4.102 0.000
! * density: 8.8 g cm⁻³
! * N(E_F): 3.63 states/eV/atom
! * M_tot: 6.5 μB/f.u.
! * symmetry: Fm-3m, No. 225
! * calculated formation energy: 426 meV/atom

=====

Entry 4:
! BaLuRh4, optimized geometry, DFT PBE; values from VASP
&SYSTEM
  ibrav = 0, nat = 6, ntyp = 3
/
ATOMIC_SPECIES
Ba 137.33 Ba.upf
Lu 174.97 Lu.upf
Rh 102.91 Rh.upf
ATOMIC_POSITIONS angstrom
Ba 0.000 0.000 0.000
Lu 1.926 1.926 1.926
Rh 4.810 2.895 2.895
Rh 2.895 4.810 2.895
Rh 2.895 2.895 4.810
Rh 4.810 4.810 4.810
CELL_PARAMETERS angstrom
0.000 3.853 3.853
3.853 0.000 3.853
3.853 3.853 0.000
! * density: 10.5 g cm⁻³
! * N(E_F): 0.68 states/eV/atom
! * M_tot: 0.0 μB/f.u.
! * symmetry: F-43m, No. 216
! * calculated formation energy: -339 meV/atom

=====

> Which of these has the highest calculated formation energy?

BaLu2Pu

=====

> Which of these has the lowest N(E_F)?

BaLuRh4